Entry 1:
The following is a DFT calculation (PBE-GGA) of KMoAsIr2 after structural relaxation.

The structure in CIF format:
```
data_KMoAsIr2
_space_group_name_H-M_alt 'P 4/m m m'
_space_group_IT_number 123
_space_group_name_Hall '-P 4 2'
_cell_length_a 4.745
_cell_length_b 4.745
_cell_length_c 4.734
_cell_angle_alpha 90.00
_cell_angle_beta 90.00
_cell_angle_gamma 90.00
loop_
_atom_site_label
_atom_site_fract_x
_atom_site_fract_y
_atom_site_fract_z
K1 0.000 0.000 0.000
Mo1 0.000 0.000 0.500
As1 0.500 0.500 0.500
Ir1 0.000 0.500 0.000
```

DFT formation energy = 3077 meV/atom

***

Entry 2:
The following is a DFT calculation (PBE-GGA) of KMo2AsIr after structural relaxation.

The structure in CIF format:
```
data_KMo2AsIr
_space_group_name_H-M_alt 'P 4/m m m'
_space_group_IT_number 123
_space_group_name_Hall '-P 4 2'
_cell_length_a 4.943
_cell_length_b 4.943
_cell_length_c 5.117
_cell_angle_alpha 90.00
_cell_angle_beta 90.00
_cell_angle_gamma 90.00
loop_
_atom_site_label
_atom_site_fract_x
_atom_site_fract_y
_atom_site_fract_z
K1 0.000 0.000 0.000
Mo1 0.000 0.500 0.500
As1 0.500 0.500 0.000
Ir1 0.500 0.500 0.500
```

DFT formation energy = 1304 meV/atom

***

Entry 3:
The following is a DFT calculation (PBE-GGA) of KNa2AsIr after structural relaxation.

The structure in CIF format:
```
data_KNa2AsIr
_space_group_name_H-M_alt 'P 4/m m m'
_space_group_IT_number 123
_space_group_name_Hall '-P 4 2'
_cell_length_a 5.579
_cell_length_b 5.579
_cell_length_c 4.647
_cell_angle_alpha 90.00
_cell_angle_beta 90.00
_cell_angle_gamma 90.00
loop_
_atom_site_label
_atom_site_fract_x
_atom_site_fract_y
_atom_site_fract_z
K1 0.000 0.000 0.000
Na1 0.000 0.500 0.500
As1 0.500 0.500 0.000
Ir1 0.500 0.500 0.500
```

DFT formation energy = -109 meV/atom

***

Entry 4:
The following is a DFT calculation (PBE-GGA) of KAsIrO6 after structural relaxation.

The structure in CIF format:
```
data_KAsIrO6
_space_group_name_H-M_alt 'P 3 1 2'
_space_group_IT_number 149
_space_group_name_Hall 'P 3 2'
_cell_length_a 5.1228
_cell_length_b 5.1228
_cell_length_c 6.0693
_cell_angle_alpha 90.00
_cell_angle_beta 90.00
_cell_angle_gamma 120.00
loop_
_atom_site_label
_atom_site_fract_x
_atom_site_fract_y
_atom_site_fract_z
K1 0.0000 0.0000 0.0000
As1 0.6667 0.3333 0.5000
Ir1 0.3333 0.6667 0.5000
O1 0.3961 0.0097 0.3216
```

Formation energy without anion corrections = -1083 meV per atom

***

Entry 5:
The following is a DFT calculation (PBE-GGA) of K2As2IrPd after structural relaxation.

The structure in CIF format:
```
data_K2As2IrPd
_space_group_name_H-M_alt 'I b a m'
_space_group_IT_number 72
_space_group_name_Hall '-I 2 2c'
_cell_length_a 5.777
_cell_length_b 20.085
_cell_length_c 5.824
_cell_angle_alpha 90.00
_cell_angle_beta 90.00
_cell_angle_gamma 90.00
loop_
_atom_site_label
_atom_site_fract_x
_atom_site_fract_y
_atom_site_fract_z
K1 0.241 0.155 0.000
As1 0.233 0.427 0.000
Ir1 0.000 0.500 0.250
Pd1 0.000 0.000 0.250
```

DFT formation energy = -393 meV/atom

***

Entry 6:
The following is a DFT calculation (PBE-GGA) of KAsIrPd after structural relaxation.

The structure in CIF format:
```
data_KAsIrPd
_space_group_name_H-M_alt 'P 4/n m m'
_space_group_IT_number 129
_cell_length_a 3.961
_cell_length_b 3.961
_cell_length_c 12.265
_cell_angle_alpha 90.00
_cell_angle_beta 90.00
_cell_angle_gamma 90.00
loop_
_space_group_symop_operation_xyz
'x,y,z'
'-x,-y,-z'
'-y+1/2,x,z'
'y+1/2,-x,-z'
'-x+1/2,-y+1/2,z'
'x+1/2,y+1/2,-z'
'y,-x+1/2,z'
'-y,x+1/2,-z'
'x+1/2,-y,-z'
'-x+1/2,y,z'
'-y,-x,-z'
'y,x,z'
'-x,y+1/2,-z'
'x,-y+1/2,z'
'y+1/2,x+1/2,-z'
'-y+1/2,-x+1/2,z'
loop_
_atom_site_label
_atom_site_fract_x
_atom_site_fract_y
_atom_site_fract_z
K1 0.250 0.250 0.215
As1 0.250 0.250 0.618
Ir1 0.250 0.750 0.500
Pd1 0.250 0.750 0.000
```

DFT formation energy = -195 meV/atom

***

Entry 7:
The following is a DFT calculation (PBE-GGA) of KAsIrRh2 after structural relaxation.

The structure in CIF format:
```
data_KAsIrRh2
_space_group_name_H-M_alt 'P 4/m m m'
_space_group_IT_number 123
_space_group_name_Hall '-P 4 2'
_cell_length_a 4.522
_cell_length_b 4.522
_cell_length_c 5.159
_cell_angle_alpha 90.00
_cell_angle_beta 90.00
_cell_angle_gamma 90.00
loop_
_atom_site_label
_atom_site_fract_x
_atom_site_fract_y
_atom_site_fract_z
K1 0.000 0.000 0.000
As1 0.000 0.000 0.500
Ir1 0.500 0.500 0.500
Rh1 0.000 0.500 0.000
```

DFT formation energy = 2525 meV/atom

***

Entry 8:
The following is a DFT calculation (PBE-GGA) of KAs2IrSe after structural relaxation.

The structure in CIF format:
```
data_KAs2IrSe
_space_group_name_H-M_alt 'P 4/m m m'
_space_group_IT_number 123
_space_group_name_Hall '-P 4 2'
_cell_length_a 5.234
_cell_length_b 5.234
_cell_length_c 5.296
_cell_angle_alpha 90.00
_cell_angle_beta 90.00
_cell_angle_gamma 90.00
loop_
_atom_site_label
_atom_site_fract_x
_atom_site_fract_y
_atom_site_fract_z
K1 0.000 0.000 0.000
As1 0.000 0.500 0.000
Ir1 0.500 0.500 0.500
Se1 0.000 0.000 0.500
```

Formation energy without anion corrections = 2253 meV per atom
Energy relative to the lowest polymorph listed for this composition = 2.197 eV per atom